No. 1
# CaCu2Sn | Alexandria via LeMat-Bulk | PBE-GGA | relaxed
# **Energy of formation from the pure elements**: -0.24 eV/atom
# **Total energy**: -3.787 eV/atom
# **Volume**: 20.56 Å³ per atom
data_CaCu2Sn
_cell_length_a 8.2177
_cell_length_b 6.7284
_cell_length_c 5.9490
_cell_angle_alpha 90.00
_cell_angle_beta 90.00
_cell_angle_gamma 90.00
_symmetry_space_group_name_H-M 'P n m a'
_symmetry_Int_Tables_number 62
loop_
_symmetry_equiv_pos_as_xyz
'x,y,z'
'-x,-y,-z'
'-x+1/2,-y,z+1/2'
'x+1/2,y,-z+1/2'
'x+1/2,-y+1/2,-z+1/2'
'-x+1/2,y+1/2,z+1/2'
'-x,y+1/2,-z'
'x,-y+1/2,z'
loop_
_atom_site_label
_atom_site_fract_x
_atom_site_fract_y
_atom_site_fract_z
Ca1 0.0406 0.2500 0.1505
Cu1 0.1887 0.0637 0.5870
Sn1 0.1069 0.7500 0.3519

=====

No. 2
# Ca6Cu2Sn | Alexandria via LeMat-Bulk | PBE-GGA | relaxed
# **Energy of formation from the pure elements**: -0.26 eV/atom
# **Total energy**: -2.952 eV/atom
# **Volume**: 29.64 Å³ per atom
data_Ca6Cu2Sn
_cell_length_a 9.7146
_cell_length_b 10.3490
_cell_length_c 10.6134
_cell_angle_alpha 90.00
_cell_angle_beta 90.00
_cell_angle_gamma 90.00
_symmetry_space_group_name_H-M 'I m m m'
_symmetry_Int_Tables_number 71
_symmetry_space_group_name_Hall '-I 2 2'
loop_
_atom_site_label
_atom_site_fract_x
_atom_site_fract_y
_atom_site_fract_z
Ca1 0.0000 0.2020 0.2372
Ca2 0.2039 0.5000 0.1748
Ca3 0.2176 0.3148 0.5000
Cu1 0.0000 0.3724 0.0000
Cu2 0.0000 0.5000 0.3846
Sn1 0.0000 0.0000 0.0000
Sn2 0.0000 0.0000 0.5000

=====

No. 3
# Ca2CuSn2 | Alexandria via LeMat-Bulk | PBE-GGA | relaxed
# **Energy of formation from the pure elements**: -0.42 eV/atom
# **Total energy**: -3.636 eV/atom
# **Volume**: 26.16 Å³ per atom
data_Ca2CuSn2
_cell_length_a 7.2787
_cell_length_b 7.2787
_cell_length_c 4.9386
_cell_angle_alpha 90.00
_cell_angle_beta 90.00
_cell_angle_gamma 90.00
_symmetry_space_group_name_H-M 'P 4/m b m'
_symmetry_Int_Tables_number 127
_symmetry_space_group_name_Hall '-P 4 2ab'
loop_
_atom_site_label
_atom_site_fract_x
_atom_site_fract_y
_atom_site_fract_z
Ca1 0.1639 0.3361 0.0000
Cu1 0.0000 0.0000 0.5000
Sn1 0.1477 0.6477 0.5000

=====

No. 4
# Ca3Cu2Sn7 | Alexandria via LeMat-Bulk | PBE-GGA | relaxed
# **Energy of formation from the pure elements**: -0.24 eV/atom
# **Total energy**: -3.763 eV/atom
# **Volume**: 26.92 Å³ per atom
data_Ca3Cu2Sn7
_cell_length_a 4.2531
_cell_length_b 5.2288
_cell_length_c 14.5529
_cell_angle_alpha 93.45
_cell_angle_beta 90.03
_cell_angle_gamma 90.01
_symmetry_space_group_name_H-M 'P -1'
_symmetry_Int_Tables_number 2
loop_
_symmetry_equiv_pos_as_xyz
'x,y,z'
'-x,-y,-z'
loop_
_atom_site_label
_atom_site_fract_x
_atom_site_fract_y
_atom_site_fract_z
Ca1 0.0000 0.0000 0.0000
Ca2 0.9996 0.3288 0.6120
Cu1 0.4995 0.7662 0.8589
Sn1 0.0008 0.1570 0.2473
Sn2 0.4994 0.2524 0.7961
Sn3 0.4994 0.8258 0.5790
Sn4 0.5000 0.5000 0.0000

=====

N(E_F) for every record listed, in sequence, given in states/eV per atom: 0.440; 0.554; 0.432; 0.483.